The following is a PBE-GGA calculation of a geometry-optimized AcBSbPt6 structure, from Alexandria.

Geometry as extended XYZ:
```
18
Lattice="-3.6538 4.1623 5.9549 3.6538 -4.1623 5.9549 3.6538 4.1623 -5.9549" Properties=species:S:1:pos:R:3 pbc="T T T"
Ac 0.0000 2.0812 2.1221
Ac 3.6538 2.0812 3.8329
B 3.6538 0.0000 0.0000
B 0.0000 0.0000 5.9549
Sb 1.8269 2.0812 -2.9775
Sb 1.8269 -2.0812 2.9775
Pt 2.0391 -0.1112 1.3626
Pt 5.2685 -0.1112 1.3626
Pt 3.6538 -2.0812 4.8424
Pt 3.6538 2.0812 0.7118
Pt 2.0391 4.0511 -1.3626
Pt 1.6147 -0.1112 4.5924
Pt 2.0391 4.2735 1.3626
Pt 1.6147 0.1112 7.3175
Pt 0.0000 2.0812 5.2432
Pt 0.0000 6.2435 1.1125
Pt -1.6147 4.2735 4.5924
Pt 1.6147 4.2735 4.5924
```

Results
energy relative to the elements, uncorrected: -37.0 kJ/mol of atoms
mass density: 14.03 Mg/m³
spin magnetization: 0.00 μB/atom
calculated total energy: -6.07 eV per atom

The following is a PBE-GGA calculation of a geometry-optimized PrHo9Th2 structure, from Alexandria.

Geometry as extended XYZ:
```
12
Lattice="11.3222 0.0000 0.0000 -5.6611 9.8053 0.0000 0.0000 0.0000 3.5095" Properties=species:S:1:pos:R:3 pbc="T T T"
Pr 0.0000 0.0000 0.0000
Ho -2.8305 4.9026 0.0000
Ho 0.0000 3.4511 1.7548
Ho -2.6724 8.0797 1.7548
Ho 2.9887 1.7255 1.7548
Ho 5.6611 0.0000 0.0000
Ho 2.8305 4.9026 0.0000
Ho 2.6723 8.0797 1.7548
Ho 8.3334 1.7255 1.7548
Ho 5.6611 6.3542 1.7548
Th 0.0000 6.5369 0.0000
Th 5.6611 3.2684 0.0000
```

Results
excess energy over the best structure of this formula in the dataset: 69 meV per atom
mass density: 8.90 Mg/m³
E_form: 1.20 eV/f.u.
spin magnetization: 0.00 μB/atom
calculated total energy: -4.97 eV per atom

The following is a PBE-GGA calculation of a geometry-optimized ZrZnBr2 structure, from Alexandria.

Geometry as extended XYZ:
```
4
Lattice="3.5805 0.0000 0.0000 0.0000 4.4950 0.0000 -1.4945 0.0000 6.2375" Properties=species:S:1:pos:R:3 pbc="T T T"
Zr 0.0000 0.0000 0.0000
Zn -0.7472 0.0000 3.1187
Br 0.7953 2.2475 1.4424
Br 1.2907 2.2475 4.7951
```

Results
excess energy over the best structure of this formula in the dataset: 375 meV per atom
energy relative to the elements, uncorrected: -28.0 kJ/mol of atoms
mass density: 5.23 Mg/m³
spin magnetization: 0.16 μB/atom
calculated total energy: -3.58 eV per atom

The following is a PBE-GGA calculation of a geometry-optimized Pm2ZnOsO8 structure, from Alexandria.

Geometry as extended XYZ:
```
12
Lattice="4.7359 0.0000 0.0000 -0.4973 4.7789 0.0000 -0.2886 -0.3781 7.4221" Properties=species:S:1:pos:R:3 pbc="T T T"
Pm 0.1709 0.1321 1.8050
Pm 3.7790 4.2687 5.6171
Zn 2.1193 2.3895 0.0000
Os 1.9750 2.2004 3.7111
O 0.7272 0.8641 4.0105
O 0.6334 0.6597 7.2476
O 0.8887 2.8947 2.3360
O 1.1813 3.2704 5.0477
O 2.7686 1.1305 2.3744
O 3.0612 1.5062 5.0861
O 3.3166 3.7412 0.1745
O 3.2227 3.5367 3.4116
```

Results
energy relative to the elements, uncorrected: -191.4 kJ/mol of atoms
mass density: 6.66 Mg/m³
spin magnetization: 0.00 μB/atom
calculated total energy: -7.12 eV per atom

The following is a PBE-GGA calculation of a geometry-optimized Tc2BrF structure, from Alexandria.

Geometry as extended XYZ:
```
16
Lattice="5.4891 0.0000 0.0000 0.0000 5.4891 0.0000 0.0000 0.0000 9.7349" Properties=species:S:1:pos:R:3 pbc="T T T"
Tc 1.2866 1.3723 1.2169
Tc 1.3723 4.0311 3.6506
Tc 1.3723 4.2026 8.5180
Tc 1.4580 1.3723 6.0843
Tc 4.0311 4.1168 6.0843
Tc 4.1168 1.2866 8.5180
Tc 4.1168 1.4580 3.6506
Tc 4.2026 4.1168 1.2169
Br 0.0000 0.0000 4.8674
Br 0.0000 2.7446 7.3011
Br 2.7446 0.0000 2.4337
Br 2.7446 2.7446 0.0000
F 0.0000 0.0000 0.0000
F 0.0000 2.7446 2.4337
F 2.7446 0.0000 7.3011
F 2.7446 2.7446 4.8674
```

Results
excess energy over the best structure of this formula in the dataset: 277 meV per atom
energy relative to the elements, uncorrected: 89.5 kJ/mol of atoms
mass density: 6.68 Mg/m³
spin magnetization: 0.00 μB/atom
calculated total energy: -5.14 eV per atom

The following is a PBE-GGA calculation of a geometry-optimized TaZn11 structure, from Alexandria.

Geometry as extended XYZ:
```
24
Lattice="-5.1665 5.1665 3.3690 5.1665 -5.1665 3.3690 5.1665 5.1665 -3.3690" Properties=species:S:1:pos:R:3 pbc="T T T"
Ta 5.1665 2.5832 0.8423
Ta 0.0000 2.5832 2.5268
Zn 0.0000 0.0000 0.0000
Zn 2.5832 2.5832 -1.6845
Zn 2.5832 -2.5832 1.6845
Zn 3.9337 -0.5034 1.1448
Zn 6.3993 -0.5034 1.1448
Zn 5.1665 -2.5832 2.5268
Zn 2.0798 1.3504 0.5397
Zn 8.2531 1.3504 0.5397
Zn 3.9337 4.6631 -1.1448
Zn 1.2328 -0.5034 2.2242
Zn 2.0798 3.8161 0.5397
Zn 3.0867 -1.3504 3.9087
Zn 0.0000 5.1665 0.0000
Zn 2.0798 6.5169 -0.5397
Zn 3.0866 1.3504 2.8293
Zn 3.9337 5.6699 1.1448
Zn 1.2328 0.5034 4.5139
Zn -3.0867 3.8161 2.8293
Zn 3.0866 3.8161 2.8293
Zn 0.0000 7.7497 0.8423
Zn -1.2328 5.6699 2.2242
Zn 1.2328 5.6699 2.2242
```

Results
mass density: 8.31 Mg/m³
E_form: 1.92 eV/f.u.
spin magnetization: 0.00 μB/atom
calculated total energy: -2.00 eV per atom

The following is a PBE-GGA calculation of a geometry-optimized Dy3Ag4Sn4 structure, from Alexandria.

Geometry as extended XYZ:
```
11
Lattice="-2.2906 3.6878 7.6542 2.2906 -3.6878 7.6542 2.2906 3.6878 -7.6542" Properties=species:S:1:pos:R:3 pbc="T T T"
Dy 0.0000 0.0000 0.0000
Dy 2.2906 0.0000 5.6998
Dy 0.0000 3.6878 1.9545
Ag 2.2906 1.4672 -2.6291
Ag 2.2906 1.4672 2.6291
Ag 0.0000 2.2206 5.0251
Ag 0.0000 2.2206 10.2834
Sn 0.0000 0.0000 3.2799
Sn 2.2906 2.2389 0.0000
Sn 0.0000 1.4490 7.6542
Sn 0.0000 0.0000 12.0286
```

Results
mass density: 8.95 Mg/m³
E_form: -5.26 eV/f.u.
spin magnetization: 0.00 μB/atom
calculated total energy: -4.23 eV per atom

The following is a PBE-GGA calculation of a geometry-optimized SmDyY2 structure, from Alexandria.

Geometry as extended XYZ:
```
12
Lattice="3.5803 0.0000 0.0000 -1.7901 3.1006 0.0000 0.0000 0.0000 34.9386" Properties=species:S:1:pos:R:3 pbc="T T T"
Sm 0.0000 0.0000 0.0000
Sm 0.0000 2.0671 23.2924
Sm 1.7901 1.0335 11.6462
Dy 0.0000 0.0000 17.4693
Dy 0.0000 2.0671 5.8231
Dy 1.7901 1.0335 29.1155
Y 0.0000 0.0000 8.7100
Y 0.0000 0.0000 26.2286
Y 0.0000 2.0671 14.5824
Y 0.0000 2.0671 32.0024
Y 1.7901 1.0335 2.9362
Y 1.7901 1.0335 20.3562
```

Results
excess energy over the best structure of this formula in the dataset: 9 meV per atom
mass density: 6.30 Mg/m³
E_form: 0.08 eV/f.u.
spin magnetization: 0.00 μB/atom
calculated total energy: -5.54 eV per atom